No. 1
Ac3As4Pd7 | GGA-PBE | relaxed

Summary:
V in A^3/atom: 20.945
ΔE_f in eV/atom: -0.89
D(E_F) in states/eV per cell: 10.95

```
data_Ac3As4Pd7
_cell_length_a 16.511
_cell_length_b 4.317
_cell_length_c 9.662
_cell_angle_alpha 90.00
_cell_angle_beta 121.61
_cell_angle_gamma 90.00
_space_group_name_H-M_alt 'C 1 2/m 1'
_space_group_IT_number 12
_space_group_name_Hall '-C 2y'
loop_
_atom_site_label
_atom_site_type_symbol
_atom_site_fract_x
_atom_site_fract_y
_atom_site_fract_z
_atom_site_occupancy
Ac1 Ac 0.000 0.000 0.000 1
Ac2 Ac 0.182 0.500 0.640 1
As1 As 0.118 0.000 0.818 1
As2 As 0.155 0.500 0.269 1
Pd1 Pd 0.000 0.000 0.500 1
Pd2 Pd 0.017 0.500 0.736 1
Pd3 Pd 0.110 0.000 0.355 1
Pd4 Pd 0.200 0.500 0.041 1
```


No. 2
Ac2As4Pd3 | GGA-PBE | relaxed

Summary:
V in A^3/atom: 21.286
ΔE_f in eV/atom: -0.83
D(E_F) in states/eV per cell: 25.71

```
data_Ac2As4Pd3
_cell_length_a 6.104
_cell_length_b 15.885
_cell_length_c 7.902
_cell_angle_alpha 90.00
_cell_angle_beta 90.00
_cell_angle_gamma 90.00
_space_group_name_H-M_alt 'C m c e'
_space_group_IT_number 64
_space_group_name_Hall '-C 2ac 2'
loop_
_atom_site_label
_atom_site_type_symbol
_atom_site_fract_x
_atom_site_fract_y
_atom_site_fract_z
_atom_site_occupancy
Ac1 Ac 0.000 0.118 0.080 1
As1 As 0.000 0.183 0.471 1
As2 As 0.250 0.049 0.750 1
Pd1 Pd 0.000 0.000 0.500 1
Pd2 Pd 0.250 0.214 0.750 1
```


No. 3
AcPmAs2Pd5 | GGA-PBE | relaxed

Summary:
V in A^3/atom: 19.884
ΔE_f in eV/atom: -0.80
D(E_F) in states/eV per cell: 2.44

```
data_AcPmAs2Pd5
_cell_length_a 4.374
_cell_length_b 4.374
_cell_length_c 9.354
_cell_angle_alpha 90.00
_cell_angle_beta 90.00
_cell_angle_gamma 90.00
_space_group_name_H-M_alt 'P 4/m m m'
_space_group_IT_number 123
_space_group_name_Hall '-P 4 2'
loop_
_atom_site_label
_atom_site_type_symbol
_atom_site_fract_x
_atom_site_fract_y
_atom_site_fract_z
_atom_site_occupancy
Ac1 Ac 0.000 0.000 0.000 1
Pm1 Pm 0.000 0.000 0.500 1
As1 As 0.500 0.500 0.363 1
Pd1 Pd 0.000 0.500 0.234 1
Pd2 Pd 0.500 0.500 0.000 1
```


No. 4
Ac2PmAs3Pd4 | GGA-PBE | relaxed

Summary:
V in A^3/atom: 22.577
ΔE_f in eV/atom: -0.95
D(E_F) in states/eV per cell: 4.02

```
data_Ac2PmAs3Pd4
_cell_length_a 4.415
_cell_length_b 4.415
_cell_length_c 11.582
_cell_angle_alpha 90.00
_cell_angle_beta 90.00
_cell_angle_gamma 90.00
_space_group_name_H-M_alt 'P -4 m 2'
_space_group_IT_number 115
_space_group_name_Hall 'P -4 -2'
loop_
_atom_site_label
_atom_site_type_symbol
_atom_site_fract_x
_atom_site_fract_y
_atom_site_fract_z
_atom_site_occupancy
Ac1 Ac 0.000 0.500 0.214 1
Pm1 Pm 0.000 0.000 0.500 1
As1 As 0.000 0.500 0.876 1
As2 As 0.500 0.500 0.500 1
Pd1 Pd 0.000 0.000 0.000 1
Pd2 Pd 0.000 0.500 0.658 1
Pd3 Pd 0.500 0.500 0.000 1
```